This record from Alexandria describes ErZn11Pd after structural relaxation. The functional is PBE.

Cell lengths 6.8103, 6.8103, 6.7554 Å; angles 98.24, 98.24, 134.95 degrees
Element x y z (fractional)
1 Er 0.0000 0.0000 0.0000
2 Zn 0.0000 0.5000 0.0000
3 Zn 0.0076 0.6562 0.6472
4 Zn 0.2866 0.5036 0.7857
5 Zn 0.3438 0.9924 0.3528
6 Zn 0.4964 0.7134 0.2143
7 Zn 0.5000 0.0000 0.0000
8 Zn 0.5000 0.5000 0.5000
9 Zn 0.5036 0.2866 0.7857
10 Zn 0.6562 0.0076 0.6472
11 Zn 0.7134 0.4964 0.2143
12 Zn 0.9924 0.3438 0.3528
13 Pd 0.0000 0.0000 0.5000

Summary:
Volume   205.6 Å³ per cell
Formation energy   -5.64 kcal/mol of atoms
Space group   No. 12

This record from Alexandria describes ZnBrF2 after structural relaxation. The functional is PBE.

Cell lengths 8.3298, 8.3298, 8.3298 Å; angles 21.00, 21.00, 21.00 degrees
Element x y z (fractional)
1 Zn 0.0000 0.0000 0.0000
2 Br 0.5000 0.5000 0.5000
3 F 0.3757 0.3757 0.3757
4 F 0.6243 0.6243 0.6243

Summary:
Volume   65.0 Å³ per cell
Formation energy from raw total energies   -1.5046 eV per atom
Space group   No. 166

This record from Alexandria describes Zr5Cr after structural relaxation. The functional is PBE.

Cell lengths 8.0553, 8.0553, 3.3306 Å; angles 90.00, 90.00, 143.71 degrees
Element x y z (fractional)
1 Zr 0.0000 0.0000 0.0000
2 Zr 0.1818 0.8182 0.5000
3 Zr 0.3653 0.6347 0.0000
4 Zr 0.6347 0.3653 0.0000
5 Zr 0.8182 0.1818 0.5000
6 Cr 0.5000 0.5000 0.5000

Summary:
Volume   127.9 Å³ per cell
Formation energy   2.42 kcal/mol of atoms
Space group   No. 65

This record from Alexandria describes MnCo4Mo after structural relaxation. The functional is PBE.

Cell lengths 4.6605, 4.6605, 4.6605 Å; angles 60.00, 60.00, 60.00 degrees
Element x y z (fractional)
1 Mn 0.0000 0.0000 0.0000
2 Co 0.3744 0.3744 0.3744
3 Co 0.3744 0.3744 0.8768
4 Co 0.3744 0.8768 0.3744
5 Co 0.8768 0.3744 0.3744
6 Mo 0.7500 0.7500 0.7500

Summary:
Volume   71.6 Å³ per cell
Formation energy   1.02 kcal/mol of atoms
Space group   No. 216

This record from Alexandria describes CaDy4YSe8 after structural relaxation. The functional is PBE.

Cell lengths 8.4584, 8.4584, 8.4584 Å; angles 59.99, 59.99, 59.99 degrees
Element x y z (fractional)
1 Ca 0.0000 0.0000 0.0000
2 Dy 0.1187 0.6272 0.6272
3 Dy 0.2502 0.2502 0.2502
4 Dy 0.6272 0.1187 0.6272
5 Dy 0.6272 0.6272 0.1187
6 Y 0.6273 0.6273 0.6273
7 Se 0.3830 0.3830 0.3830
8 Se 0.3827 0.3827 0.8518
9 Se 0.3827 0.8518 0.3827
10 Se 0.4045 0.8657 0.8657
11 Se 0.8518 0.3827 0.3827
12 Se 0.8652 0.8652 0.8652
13 Se 0.8657 0.4045 0.8657
14 Se 0.8657 0.8657 0.4045

Summary:
Volume   427.8 Å³ per cell
Formation energy from raw total energies   -1.8019 eV per atom
Space group   No. 160

This record from Alexandria describes Ac5Pm5Tm2 after structural relaxation. The functional is PBE.

Cell lengths 8.3951, 8.3951, 11.9332 Å; angles 114.90, 114.90, 37.03 degrees
Element x y z (fractional)
1 Ac 0.0000 0.0000 0.0000
2 Ac 0.1597 0.1597 0.4956
3 Ac 0.2538 0.2538 0.2475
4 Ac 0.7462 0.7462 0.7525
5 Ac 0.8403 0.8403 0.5044
6 Pm 0.3317 0.3317 0.9998
7 Pm 0.4219 0.4219 0.7524
8 Pm 0.5000 0.5000 0.5000
9 Pm 0.5781 0.5781 0.2476
10 Pm 0.6683 0.6683 0.0002
11 Tm 0.0844 0.0844 0.7581
12 Tm 0.9156 0.9156 0.2419

Summary:
Volume   453.8 Å³ per cell
Formation energy   1.16 kcal/mol of atoms
Space group   No. 12

This record from Alexandria describes PmNd3Tm6Th2 after structural relaxation. The functional is PBE.

Cell lengths 6.1959, 6.1959, 11.6818 Å; angles 95.09, 95.09, 119.99 degrees
Element x y z (fractional)
1 Pm 0.0000 0.0000 0.0000
2 Nd 0.1660 0.8340 0.5000
3 Nd 0.5000 0.5000 0.5000
4 Nd 0.8340 0.1660 0.5000
5 Tm 0.0820 0.4202 0.2455
6 Tm 0.2562 0.2562 0.7542
7 Tm 0.4202 0.0820 0.2455
8 Tm 0.5798 0.9180 0.7545
9 Tm 0.7438 0.7438 0.2458
10 Tm 0.9180 0.5798 0.7545
11 Th 0.3334 0.6666 0.0000
12 Th 0.6666 0.3334 0.0000

Summary:
Volume   382.3 Å³ per cell
Formation energy   0.57 kcal/mol of atoms
Space group   No. 12

This record from Alexandria describes Pr9Ga5S21 after structural relaxation. The functional is PBE.

Cell lengths 11.8232, 11.8232, 11.8232 Å; angles 95.04, 95.04, 95.04 degrees
Element x y z (fractional)
1 Pr 0.0166 0.6404 0.7907
2 Pr 0.0202 0.8015 0.1783
3 Pr 0.1161 0.4930 0.3447
4 Pr 0.1361 0.3620 0.9880
5 Pr 0.1783 0.0202 0.8015
6 Pr 0.3232 0.4708 0.7001
7 Pr 0.3447 0.1161 0.4930
8 Pr 0.3620 0.9880 0.1361
9 Pr 0.4569 0.8297 0.6881
10 Pr 0.4708 0.7001 0.3232
11 Pr 0.4930 0.3447 0.1161
12 Pr 0.6404 0.7907 0.0166
13 Pr 0.6881 0.4569 0.8297
14 Pr 0.7001 0.3232 0.4708
15 Pr 0.7907 0.0166 0.6404
16 Pr 0.8015 0.1783 0.0202
17 Pr 0.8297 0.6881 0.4569
18 Pr 0.9880 0.1361 0.3620
19 Ga 0.0218 0.3450 0.6880
20 Ga 0.1817 0.8495 0.5237
21 Ga 0.2205 0.2205 0.2205
22 Ga 0.3450 0.6880 0.0218
23 Ga 0.4220 0.4220 0.4220
24 Ga 0.5237 0.1817 0.8495
25 Ga 0.6880 0.0218 0.3450
26 Ga 0.7191 0.7191 0.7191
27 Ga 0.8495 0.5237 0.1817
28 Ga 0.9225 0.9225 0.9225
29 S 0.0188 0.2642 0.1658
30 S 0.0276 0.5605 0.1228
31 S 0.0622 0.7270 0.4002
32 S 0.0913 0.8470 0.9528
33 S 0.0921 0.5024 0.6067
34 S 0.1228 0.0276 0.5605
35 S 0.1658 0.0188 0.2642
36 S 0.1843 0.2723 0.7578
37 S 0.1944 0.2868 0.4230
38 S 0.2141 0.7876 0.7002
39 S 0.2266 0.5651 0.8977
40 S 0.2642 0.1658 0.0188
41 S 0.2723 0.7578 0.1843
42 S 0.2868 0.4230 0.1944
43 S 0.3357 0.5794 0.4797
44 S 0.3621 0.8767 0.4633
45 S 0.4002 0.0622 0.7270
46 S 0.4095 0.8492 0.9402
47 S 0.4230 0.1944 0.2868
48 S 0.4633 0.3621 0.8767
49 S 0.4797 0.3357 0.5794
50 S 0.5024 0.6067 0.0921
51 S 0.5332 0.6292 0.7797
52 S 0.5605 0.1228 0.0276
53 S 0.5651 0.8977 0.2266
54 S 0.5794 0.4797 0.3357
55 S 0.6067 0.0921 0.5024
56 S 0.6292 0.7797 0.5332
57 S 0.6766 0.9062 0.8119
58 S 0.7002 0.2141 0.7876
59 S 0.7270 0.4002 0.0622
60 S 0.7578 0.1843 0.2723
61 S 0.7797 0.5332 0.6292
62 S 0.7876 0.7002 0.2141
63 S 0.8119 0.6766 0.9062
64 S 0.8470 0.9528 0.0913
65 S 0.8492 0.9402 0.4095
66 S 0.8767 0.4633 0.3621
67 S 0.8977 0.2266 0.5651
68 S 0.9062 0.8119 0.6766
69 S 0.9402 0.4095 0.8492
70 S 0.9528 0.0913 0.8470

Summary:
Volume   1632.4 Å³ per cell
Formation energy from raw total energies   -1.5689 eV per atom
Space group   No. 146

Question: Number 6 is which compound?
Answer: Ac5Pm5Tm2

What did the sixth record say?
This record from Alexandria describes Ac5Pm5Tm2 after structural relaxation. The functional is PBE.

Cell lengths 8.3951, 8.3951, 11.9332 Å; angles 114.90, 114.90, 37.03 degrees
Element x y z (fractional)
1 Ac 0.0000 0.0000 0.0000
2 Ac 0.1597 0.1597 0.4956
3 Ac 0.2538 0.2538 0.2475
4 Ac 0.7462 0.7462 0.7525
5 Ac 0.8403 0.8403 0.5044
6 Pm 0.3317 0.3317 0.9998
7 Pm 0.4219 0.4219 0.7524
8 Pm 0.5000 0.5000 0.5000
9 Pm 0.5781 0.5781 0.2476
10 Pm 0.6683 0.6683 0.0002
11 Tm 0.0844 0.0844 0.7581
12 Tm 0.9156 0.9156 0.2419

Summary:
Volume   453.8 Å³ per cell
Formation energy   1.16 kcal/mol of atoms
Space group   No. 12

Question: Look up the volume of the fourth one.
Answer: 71.6 Å³ per cell

Question: Among the records above, which one has the lowest volume?
Answer: ZnBrF2